The following is a PBE-GGA calculation of crystalline YIrRu2 at its relaxed geometry, from the Alexandria database.

abc: 4.998 4.998 4.998
angles: 132.32 132.38 69.68
Positions (direct):
Ir1 0.250 0.750 0.500
Y1 0.750 0.250 0.500
Ru1 0.000 0.000 0.000
Ru2 0.500 0.500 0.000

Values from the calculation:
Magnetization (μB/f.u.): 0.0
Energy of formation from the pure elements (meV per atom): 43
Distance to the lowest polymorph of the same formula (eV/atom): 0.055